Here is a relaxed Sc3TcNi crystal from Alexandria via LeMat-Bulk. Energies are from PBE-GGA.

a b c (Å): 9.1536 9.1536 4.5641
angles (deg): 90.00 90.00 151.14
Fractional positions:
Sc1 0.0726 0.9274 0.7500
Sc2 0.2496 0.7504 0.7500
Sc3 0.4253 0.5747 0.7500
Sc4 0.5747 0.4253 0.2500
Sc5 0.7504 0.2496 0.2500
Sc6 0.9274 0.0726 0.2500
Tc1 0.1552 0.8448 0.2500
Tc2 0.8448 0.1552 0.7500
Ni1 0.3421 0.6579 0.2500
Ni2 0.6579 0.3421 0.7500

Computed properties:
**Final energy**: -0.270 Ha/atom
**ΔH_f (0 K)**: -309 meV per atom
**Space-group type**: Cmcm (63)
**Magnetization**: 0.0 μB per cell
**Relative energy among the computed polymorphs**: 0 meV/atom
**Crystal system**: orthorhombic